[1]
VASP calculation (PBE) on Pa6PdRu after structural relaxation.

Unit cell a=5.0302 b=5.0302 c=7.9828 alpha=71.64 beta=71.67 gamma=90.00
Fractional positions:
Pa: 0.8838 0.3838 0.2325
Pd: 0.0000 0.0000 0.0000
Ru: 0.5000 0.5000 0.0000
Pa: 0.3837 0.8838 0.2325
Pa: 0.7319 0.7320 0.5360
Pa: 0.6163 0.1162 0.7675
Pa: 0.1162 0.6162 0.7675
Pa: 0.2681 0.2680 0.4640

## Properties
* spin magnetization: 0.000 μB/f.u.
* V: 22.6 A^3/atom
* DFT formation energy: -161.7 meV/atom

[2]
VASP calculation (PBE) on LaMgScIn2 after structural relaxation.

Unit cell a=5.9937 b=5.3767 c=5.9937 alpha=90.00 beta=90.00 gamma=90.00
Fractional positions:
In: 0.5000 0.0000 0.0000
Sc: 0.0000 0.5000 0.0000
Mg: 0.5000 0.5000 0.5000
In: 0.0000 0.0000 0.5000
La: 0.0000 0.0000 0.0000

## Properties
* spin magnetization: 0.000 μB/f.u.
* V: 38.6 A^3/atom
* DFT formation energy: 862.6 meV/atom

[3]
VASP calculation (PBE) on MgAlGa3 after structural relaxation.

Unit cell a=7.3624 b=7.2282 c=7.2282 alpha=99.02 beta=90.00 gamma=90.00
Fractional positions:
Al: 0.7500 0.6042 0.3958
Ga: 0.8264 0.4631 0.0369
Ga: 0.1736 0.5369 0.9631
Mg: 0.5953 0.2202 0.2797
Ga: 0.6027 0.7746 0.0601
Ga: 0.1027 0.0601 0.7746
Ga: 0.3264 0.0369 0.4631
Al: 0.2500 0.8958 0.1042
Ga: 0.3973 0.2254 0.9399
Mg: 0.9047 0.7203 0.7798
Ga: 0.8973 0.9399 0.2254
Ga: 0.6736 0.9631 0.5369
Al: 0.2500 0.3958 0.6042
Ga: 0.1027 0.7254 0.4399
Al: 0.7500 0.1042 0.8958
Ga: 0.6027 0.4399 0.7254
Ga: 0.8973 0.2746 0.5601
Mg: 0.0953 0.2797 0.2202
Mg: 0.4047 0.7798 0.7203
Ga: 0.3973 0.5601 0.2746

## Properties
* spin magnetization: 0.000 μB/f.u.
* ΔE to the lowest computed polymorph: 0.000 eV/f.u.
* V: 19.0 A^3/atom
* DFT formation energy: -27.4 meV/atom

[4]
VASP calculation (PBE) on Ca2HgPdCl after structural relaxation.

Unit cell a=5.3434 b=4.6318 c=5.3434 alpha=90.00 beta=90.00 gamma=90.00
Fractional positions:
Pd: 0.0000 0.5000 0.0000
Cl: 0.0000 0.0000 0.0000
Ca: 0.0000 0.0000 0.5000
Hg: 0.5000 0.5000 0.5000
Ca: 0.5000 0.0000 0.0000

## Properties
* spin magnetization: 0.000 μB/f.u.
* V: 26.4 A^3/atom
* formation energy from raw total energies: -0.5753 eV/atom

[5]
VASP calculation (PBE) on ReWCl4 after structural relaxation.

Unit cell a=5.5561 b=5.5561 c=5.5561 alpha=60.00 beta=60.00 gamma=60.00
Fractional positions:
Re: 0.7500 0.7500 0.7500
Cl: 0.8750 0.3750 0.3750
Cl: 0.3750 0.8750 0.3750
Cl: 0.3750 0.3750 0.8750
W: 0.0000 0.0000 0.0000
Cl: 0.3750 0.3750 0.3750

## Properties
* spin magnetization: 0.381 μB/f.u.
* V: 20.2 A^3/atom
* formation energy from raw total energies: 1.9731 eV/atom

[6]
VASP calculation (PBE) on CeScGa2 after structural relaxation.

Unit cell a=4.1125 b=4.5986 c=4.5986 alpha=90.00 beta=90.00 gamma=90.00
Fractional positions:
Ce: 0.5000 0.5000 0.5000
Ga: 0.0000 0.5000 0.0000
Ga: 0.0000 0.0000 0.5000
Sc: 0.5000 0.0000 0.0000

## Properties
* spin magnetization: 0.754 μB/f.u.
* V: 21.7 A^3/atom
* DFT formation energy: -441.4 meV/atom

[7]
VASP calculation (PBE) on Be3PdN after structural relaxation.

Unit cell a=4.1437 b=4.1437 c=4.1437 alpha=90.00 beta=90.00 gamma=90.00
Fractional positions:
Be: 0.5000 0.0000 0.0000
Be: 0.0000 0.5000 0.0000
Pd: 0.0000 0.0000 0.0000
N: 0.5000 0.5000 0.5000
Be: 0.0000 0.0000 0.5000

## Properties
* spin magnetization: 0.000 μB/f.u.
* ΔE to the lowest computed polymorph: 8.638 eV/f.u.
* V: 14.2 A^3/atom
* formation energy from raw total energies: 1.4312 eV/atom

[8]
VASP calculation (PBE) on Ac2MgNi3Sn4 after structural relaxation.

Unit cell a=4.5762 b=4.5762 c=10.9664 alpha=90.00 beta=90.00 gamma=90.00
Fractional positions:
Ac: 0.5000 0.0000 0.2446
Sn: 0.5000 0.5000 0.0000
Ni: 0.5000 0.0000 0.8812
Sn: 0.0000 0.5000 0.3558
Ni: 0.0000 0.0000 0.5000
Mg: 0.5000 0.5000 0.5000
Sn: 0.5000 0.0000 0.6442
Ni: 0.0000 0.5000 0.1188
Ac: 0.0000 0.5000 0.7554
Sn: 0.0000 0.0000 0.0000

## Properties
* spin magnetization: 0.000 μB/f.u.
* V: 23.0 A^3/atom
* DFT formation energy: -506.4 meV/atom

[9]
VASP calculation (PBE) on AgAsIr2 after structural relaxation.

Unit cell a=9.1934 b=9.1934 c=9.1934 alpha=17.99 beta=17.99 gamma=17.99
Fractional positions:
Ir: 0.0021 0.0021 0.0021
Ag: 0.5014 0.5014 0.5014
As: 0.7415 0.7415 0.7415
Ir: 0.2550 0.2550 0.2550

## Properties
* spin magnetization: 0.950 μB/f.u.
* V: 16.2 A^3/atom
* DFT formation energy: 259.8 meV/atom

[10]
VASP calculation (PBE) on Tb2Pm2Th3 after structural relaxation.

Unit cell a=3.5457 b=3.5497 c=18.5677 alpha=90.00 beta=95.48 gamma=90.00
Fractional positions:
Tb: 0.8627 0.0000 0.7255
Tb: 0.1373 0.0000 0.2745
Th: 0.4317 0.5000 0.8634
Pm: 0.2919 0.5000 0.5837
Th: 0.0000 0.0000 0.0000
Pm: 0.7081 0.5000 0.4163
Th: 0.5683 0.5000 0.1366

## Properties
* spin magnetization: 0.000 μB/f.u.
* V: 33.2 A^3/atom
* DFT formation energy: 77.4 meV/atom

[11]
VASP calculation (PBE) on KPaSi2S8 after structural relaxation.

Unit cell a=7.0064 b=7.0064 c=8.8807 alpha=90.00 beta=90.00 gamma=120.00
Fractional positions:
S: 0.8299 0.6598 0.1777
S: 0.1701 0.8299 0.8223
K: 0.0000 0.0000 0.5000
Si: 0.3333 0.6667 0.7343
Pa: 0.0000 0.0000 0.0000
S: 0.6598 0.8299 0.8223
S: 0.6667 0.3333 0.4978
S: 0.1701 0.3402 0.8223
S: 0.3333 0.6667 0.5022
S: 0.3402 0.1701 0.1777
S: 0.8299 0.1701 0.1777
Si: 0.6667 0.3333 0.2657

## Properties
* spin magnetization: 1.219 μB/f.u.
* V: 31.5 A^3/atom
* formation energy from raw total energies: -0.6733 eV/atom

[12]
VASP calculation (PBE) on AcLaSm2Er5 after structural relaxation.

Unit cell a=8.8095 b=8.8095 c=10.0238 alpha=116.07 beta=116.07 gamma=90.00
Fractional positions:
Sm: 0.8830 0.6170 0.0000
Er: 0.0748 0.5748 0.7409
Er: 0.8339 0.9252 0.2591
La: 0.7500 0.2500 0.5000
Er: 0.9252 0.4252 0.2591
Sm: 0.6170 0.1170 0.0000
Er: 0.5000 0.5000 0.0000
Ac: 0.2500 0.2500 0.5000
Er: 0.6661 0.1661 0.7409
Er: 0.4252 0.3339 0.2591
Sm: 0.3830 0.8830 0.0000
Er: 0.5748 0.6661 0.7409
La: 0.2500 0.7500 0.5000
Er: 0.3339 0.8339 0.2591
Er: 0.0000 0.0000 0.0000
Sm: 0.1170 0.3830 0.0000
Er: 0.1661 0.0748 0.7409
Ac: 0.7500 0.7500 0.5000

## Properties
* spin magnetization: 0.000 μB/f.u.
* V: 33.9 A^3/atom
* DFT formation energy: 241.3 meV/atom

[13]
VASP calculation (PBE) on CeSi2Rh6 after structural relaxation.

Unit cell a=7.6650 b=7.6650 c=7.6650 alpha=60.00 beta=60.00 gamma=60.00
Fractional positions:
Rh: 0.5045 0.5045 0.9955
Rh: 0.9955 0.5045 0.9955
Rh: 0.7455 0.2545 0.2545
Ce: 0.7500 0.7500 0.7500
Si: 0.1250 0.1250 0.1250
Rh: 0.2545 0.7455 0.7455
Si: 0.6250 0.1250 0.1250
Rh: 0.5045 0.9955 0.5045
Si: 0.1250 0.1250 0.6250
Rh: 0.9955 0.5045 0.5045
Ce: 0.5000 0.5000 0.5000
Rh: 0.7455 0.7455 0.2545
Rh: 0.2545 0.2545 0.7455
Rh: 0.7455 0.2545 0.7455
Rh: 0.5045 0.9955 0.9955
Si: 0.1250 0.6250 0.1250
Rh: 0.2545 0.7455 0.2545
Rh: 0.9955 0.9955 0.5045

## Properties
* spin magnetization: 0.000 μB/f.u.
* V: 17.7 A^3/atom
* formation energy from raw total energies: -0.3195 eV/atom

[14]
VASP calculation (PBE) on Tb2Nd3Ag2 after structural relaxation.

Unit cell a=3.8000 b=6.8094 c=9.3654 alpha=114.13 beta=90.00 gamma=106.20
Fractional positions:
Ag: 0.8242 0.6484 0.7775
Tb: 0.8510 0.7020 0.1859
Nd: 0.6095 0.2190 0.4446
Tb: 0.1490 0.2980 0.8141
Nd: 0.3905 0.7810 0.5554
Ag: 0.1758 0.3516 0.2225
Nd: 0.5000 0.0000 0.0000

## Properties
* spin magnetization: 0.000 μB/f.u.
* ΔE to the lowest computed polymorph: 0.000 eV/f.u.
* V: 30.1 A^3/atom
* DFT formation energy: -109.9 meV/atom

[15]
VASP calculation (PBE) on ZrSiW2 after structural relaxation.

Unit cell a=5.3142 b=5.3142 c=5.3142 alpha=143.16 beta=131.00 gamma=62.85
Fractional positions:
W: 0.9988 0.9988 0.0000
Zr: 0.7500 0.2500 0.5000
Si: 0.2500 0.7500 0.5000
W: 0.5012 0.5012 0.0000

## Properties
* spin magnetization: 0.000 μB/f.u.
* V: 16.8 A^3/atom
* formation energy from raw total energies: 0.0214 eV/atom

[16]
VASP calculation (PBE) on CrRe2AsW after structural relaxation.

Unit cell a=4.7599 b=4.7599 c=4.6457 alpha=90.00 beta=90.00 gamma=90.00
Fractional positions:
Cr: 0.0000 0.0000 0.5000
Re: 0.5000 0.0000 0.0000
As: 0.5000 0.5000 0.5000
Re: 0.0000 0.5000 0.0000
W: 0.0000 0.0000 0.0000

## Properties
* spin magnetization: 2.428 μB/f.u.
* V: 21.1 A^3/atom
* DFT formation energy: 2057.8 meV/atom

[17]
VASP calculation (PBE) on RbPaCdBr6 after structural relaxation.

Unit cell a=8.5499 b=8.5499 c=13.5750 alpha=90.00 beta=90.00 gamma=120.00
Fractional positions:
Br: 0.4078 0.3372 0.3667
Pa: 0.6667 0.3333 0.2500
Br: 0.0706 0.6628 0.8667
Br: 0.3372 0.4078 0.8667
Br: 0.4078 0.0706 0.1333
Br: 0.3372 0.9294 0.6333
Br: 0.5922 0.6628 0.6333
Br: 0.6628 0.0706 0.3667
Br: 0.9294 0.5922 0.3667
Rb: 0.3333 0.6667 0.2500
Pa: 0.3333 0.6667 0.7500
Rb: 0.6667 0.3333 0.7500
Br: 0.5922 0.9294 0.8667
Br: 0.0706 0.4078 0.6333
Br: 0.9294 0.3372 0.1333
Cd: 0.0000 0.0000 0.5000
Br: 0.6628 0.5922 0.1333
Cd: 0.0000 0.0000 0.0000

## Properties
* spin magnetization: 0.049 μB/f.u.
* V: 47.7 A^3/atom
* formation energy from raw total energies: -1.3122 eV/atom

[18]
VASP calculation (PBE) on Pr8Ge3AuBr4 after structural relaxation.

Unit cell a=8.7371 b=8.7741 c=8.7374 alpha=119.88 beta=120.00 gamma=90.00
Fractional positions:
Br: 0.5000 0.0000 0.0000
Ge: 0.5000 0.5000 0.5000
Pr: 0.2433 0.7229 0.9798
Br: 0.5000 0.0000 0.5000
Pr: 0.7399 0.7194 0.4797
Pr: 0.2433 0.7229 0.4866
Pr: 0.7365 0.7229 0.9798
Pr: 0.2601 0.2806 0.5203
Pr: 0.2635 0.2771 0.0202
Br: 0.0000 0.0000 0.0000
Ge: 0.0000 0.5000 0.5000
Br: 0.0000 0.0000 0.5000
Pr: 0.7567 0.2771 0.5134
Au: 0.0000 0.5000 0.0000
Ge: 0.5000 0.5000 0.0000
Pr: 0.7567 0.2771 0.0202

## Properties
* spin magnetization: 0.000 μB/f.u.
* V: 29.7 A^3/atom
* formation energy from raw total energies: -1.1010 eV/atom

[19]
VASP calculation (PBE) on Mg2SbH6 after structural relaxation.

Unit cell a=5.3698 b=5.3698 c=5.3698 alpha=60.00 beta=60.00 gamma=60.00
Fractional positions:
H: 0.7468 0.2532 0.2532
H: 0.2532 0.7468 0.2532
H: 0.2532 0.2532 0.7468
H: 0.2532 0.7468 0.7468
Sb: 0.0000 0.0000 0.0000
Mg: 0.7500 0.7500 0.7500
H: 0.7468 0.2532 0.7468
Mg: 0.2500 0.2500 0.2500
H: 0.7468 0.7468 0.2532

## Properties
* spin magnetization: 0.000 μB/f.u.
* V: 12.2 A^3/atom
* energy: -22.59 eV/cell

[20]
VASP calculation (PBE) on SrCuNi3 after structural relaxation.

Unit cell a=4.6986 b=4.6986 c=4.6986 alpha=90.00 beta=90.00 gamma=90.00
Fractional positions:
Cu: 0.5000 0.5000 0.5000
Ni: 0.0000 0.5000 0.0000
Ni: 0.5000 0.0000 0.0000
Sr: 0.0000 0.0000 0.0000
Ni: 0.0000 0.0000 0.5000

## Properties
* spin magnetization: 0.000 μB/f.u.
* ΔE to the lowest computed polymorph: 7.087 eV/f.u.
* V: 20.7 A^3/atom
* DFT formation energy: 1890.1 meV/atom